# Na4AlFe3O8

An optimized crystal structure of Na4AlFe3O8 (GGA+U, Alexandria).

Computed properties:
Crystal system: triclinic
N(E_F) in states/eV/atom: 0.00
Total energy in Ry/atom: -0.4342

a b c (Å): 5.4134 5.7149 7.1882
angles (deg): 89.98 90.01 89.98
Site moments in Bohr magnetons follow the coordinates.
Fractional coordinates of all 16 atoms:
Na1 0.5090 0.9272 0.3717  0.00
Na2 0.0052 0.0735 0.6225  0.00
Na3 0.0076 0.5770 0.8843  0.00
Na4 0.5108 0.4175 0.1223  0.00
Al1 0.0202 0.0672 0.1263  0.02
Fe1 0.0215 0.5684 0.3685  4.29
Fe2 0.5221 0.4342 0.6264  4.31
Fe3 0.5196 0.9349 0.8781  4.29
O1 0.9429 0.8906 0.3241  0.13
O2 0.4429 0.1095 0.6577  0.25
O3 0.4403 0.6106 0.8436  0.25
O4 0.9416 0.3679 0.1645  0.14
O5 0.3709 0.5478 0.4056  0.27
O6 0.8716 0.4626 0.5930  0.27
O7 0.8647 0.9647 0.9232  0.14
O8 0.3451 0.0463 0.0883  0.14